[1]
Computed, not measured: a relaxed structure of CsSrLu at the PBE-GGA level of DFT.

crystal system	cubic
total DFT energy (no corrections)	-1.28	eV per atom

a b c (Å): 6.0598 6.0598 6.0598
angles (deg): 60.00 60.00 60.00
With the nearest neighbours (Å) after each atom.
Sites, in units of the cell vectors:
1 Cs 0.0000 0.0000 0.0000  4 Lu 3.71, 4 Sr 3.71
2 Sr 0.2500 0.2500 0.2500  4 Cs 3.71
3 Lu 0.7500 0.7500 0.7500  4 Cs 3.71

=====

[2]
Computed, not measured: a relaxed structure of CsTbLuTe3 at the PBE-GGA level of DFT.

offset from the most stable computed form	1.09	kcal/mol of atoms
crystal system	orthorhombic

a b c (Å): 9.1118 9.1118 11.7189
angles (deg): 90.00 90.00 150.06
With the nearest neighbours (Å) after each atom.
Sites, in units of the cell vectors:
1 Cs 0.2464 0.7536 0.7500  8 Te 3.93-4.20
2 Cs 0.7536 0.2464 0.2500  8 Te 3.93-4.20
3 Tb 0.0322 0.9678 0.2500  4 Te 2.93-2.94
4 Tb 0.9678 0.0322 0.7500  4 Te 2.93-2.94
5 Lu 0.5000 0.5000 0.0000  6 Te 3.16
6 Lu 0.5000 0.5000 0.5000  6 Te 3.16
7 Te 0.1171 0.8829 0.0351  1 Tb 2.93, 2 Lu 3.16
8 Te 0.1171 0.8829 0.4649  1 Tb 2.93, 2 Lu 3.16
9 Te 0.4325 0.5675 0.2500  2 Tb 2.94, 2 Lu 3.16
10 Te 0.5675 0.4325 0.7500  2 Tb 2.94, 2 Lu 3.16
11 Te 0.8829 0.1171 0.5351  1 Tb 2.93, 2 Lu 3.16
12 Te 0.8829 0.1171 0.9649  1 Tb 2.93, 2 Lu 3.16

=====

[3]
Computed, not measured: a relaxed structure of CsTbLuTe3 at the PBE-GGA level of DFT.

offset from the most stable computed form	0.00	kcal/mol of atoms
crystal system	orthorhombic

a b c (Å): 9.0511 9.0511 11.8977
angles (deg): 90.00 90.00 150.25
With the nearest neighbours (Å) after each atom.
Sites, in units of the cell vectors:
1 Cs 0.2443 0.7557 0.7500  8 Te 3.92-4.12
2 Cs 0.7557 0.2443 0.2500  8 Te 3.92-4.12
3 Tb 0.5000 0.5000 0.0000  6 Te 3.18-3.20
4 Tb 0.5000 0.5000 0.5000  6 Te 3.18-3.20
5 Lu 0.0357 0.9643 0.2500  4 Te 2.86-2.90
6 Lu 0.9643 0.0357 0.7500  4 Te 2.86-2.90
7 Te 0.1217 0.8783 0.0455  1 Lu 2.86, 2 Tb 3.20
8 Te 0.1217 0.8783 0.4545  1 Lu 2.86, 2 Tb 3.20
9 Te 0.4365 0.5635 0.2500  2 Lu 2.90, 2 Tb 3.18
10 Te 0.5635 0.4365 0.7500  2 Lu 2.90, 2 Tb 3.18
11 Te 0.8783 0.1217 0.5455  1 Lu 2.86, 2 Tb 3.20
12 Te 0.8783 0.1217 0.9545  1 Lu 2.86, 2 Tb 3.20

=====

[4]
Computed, not measured: a relaxed structure of CsLuTc at the PBE-GGA level of DFT.

offset from the most stable computed form	8.77	kcal/mol of atoms
crystal system	cubic

a b c (Å): 4.9363 4.9363 4.9363
angles (deg): 60.00 60.00 60.00
With the nearest neighbours (Å) after each atom.
Sites, in units of the cell vectors:
1 Cs 0.0000 0.0000 0.0000  4 Lu 3.02, 4 Tc 3.02
2 Lu 0.7500 0.7500 0.7500  4 Cs 3.02
3 Tc 0.2500 0.2500 0.2500  4 Cs 3.02

=====

Calculated volume in Å³/cell, matching the order above: 157; 486; 484; 85
Magnetization in μB/f.u., matching the order above: 0.02; 0.26; 0.04; 1.50